Record 1
HoSc3Sn2C2, optimized geometry, DFT PBE; calculated total energy = -6.888 eV/atom; V = 19.29 Å³/atom; density = 6.040 g cm⁻³
1.0
3.428 0.000 0.000
-1.714 2.969 0.000
0.000 0.000 15.158
Ho Sc Sn C
1 3 2 2
direct
0.000 0.000 0.000
0.000 0.000 0.660
0.667 0.333 0.169
0.667 0.333 0.501
0.000 0.000 0.336
0.667 0.333 0.824
0.333 0.667 0.090
0.333 0.667 0.581

***

Record 2
NaNbMo, optimized geometry, DFT PBE; V = 21.33 Å³/atom; density = 5.498 g cm⁻³; relative energy among the computed polymorphs = 0.000 eV per atom
1.0
6.349 0.000 0.000
0.000 6.349 0.000
0.000 0.000 6.349
Na Nb Mo
4 4 4
direct
0.000 0.000 0.000
0.000 0.500 0.500
0.500 0.000 0.500
0.500 0.500 0.000
0.000 0.000 0.500
0.000 0.500 0.000
0.500 0.000 0.000
0.500 0.500 0.500
0.250 0.250 0.250
0.250 0.750 0.750
0.750 0.250 0.750
0.750 0.750 0.250

***

Record 3
CsKSbAu, optimized geometry, DFT PBE; V = 39.34 Å³/atom; density = 5.178 g cm⁻³; relative energy among the computed polymorphs = 0.000 eV per atom
1.0
6.539 0.000 0.000
0.000 7.006 0.000
-2.512 0.000 6.870
Cs K Sb Au
2 2 2 2
direct
0.032 0.250 0.148
0.968 0.750 0.852
0.320 0.750 0.532
0.680 0.250 0.468
0.284 0.250 0.722
0.716 0.750 0.278
0.500 0.000 0.000
0.500 0.500 0.000

***

Record 4
TmTlFeTe3, optimized geometry, DFT PBE; V = 31.12 Å³/atom; density = 7.220 g cm⁻³; relative energy among the computed polymorphs = 0.095 eV per atom
1.0
10.520 0.000 0.000
0.000 4.397 0.000
0.000 0.000 16.148
Tm Tl Fe Te
4 4 4 12
direct
0.170 0.250 0.051
0.330 0.750 0.551
0.670 0.250 0.449
0.830 0.750 0.949
0.054 0.750 0.317
0.446 0.250 0.817
0.554 0.750 0.183
0.946 0.250 0.683
0.153 0.750 0.872
0.347 0.250 0.372
0.653 0.750 0.628
0.847 0.250 0.128
0.015 0.250 0.889
0.164 0.250 0.481
0.207 0.750 0.717
0.293 0.250 0.217
0.336 0.750 0.981
0.485 0.750 0.389
0.515 0.250 0.611
0.664 0.250 0.019
0.707 0.750 0.783
0.793 0.250 0.283
0.836 0.750 0.519
0.985 0.750 0.111

***

Record 5
Tl2TcPd, optimized geometry, DFT PBE; calculated total energy = -4.425 eV/atom; V = 20.62 Å³/atom; density = 12.344 g cm⁻³
1.0
6.910 0.000 0.000
0.000 6.910 0.000
0.000 0.000 6.910
Tl Tc Pd
8 4 4
direct
0.000 0.000 0.000
0.000 0.500 0.500
0.250 0.250 0.250
0.250 0.750 0.750
0.500 0.000 0.500
0.500 0.500 0.000
0.750 0.250 0.750
0.750 0.750 0.250
0.000 0.000 0.500
0.000 0.500 0.000
0.500 0.000 0.000
0.500 0.500 0.500
0.250 0.250 0.750
0.250 0.750 0.250
0.750 0.250 0.250
0.750 0.750 0.750

***

Record 6
KHfPb, optimized geometry, DFT PBE; V = 33.69 Å³/atom; density = 6.979 g cm⁻³; relative energy among the computed polymorphs = 0.000 eV per atom
1.0
7.394 0.000 0.000
0.000 7.394 0.000
0.000 0.000 7.394
K Hf Pb
4 4 4
direct
0.000 0.000 0.000
0.000 0.500 0.500
0.500 0.000 0.500
0.500 0.500 0.000
0.000 0.000 0.500
0.000 0.500 0.000
0.500 0.000 0.000
0.500 0.500 0.500
0.250 0.250 0.250
0.250 0.750 0.750
0.750 0.250 0.750
0.750 0.750 0.250

***

Record 7
GdSbPt, optimized geometry, DFT PBE; calculated total energy = -5.992 eV/atom; V = 22.68 Å³/atom; density = 11.571 g cm⁻³
1.0
7.470 0.000 0.000
-3.735 6.469 0.000
0.000 0.000 4.224
Gd Sb Pt
3 3 3
direct
0.000 0.607 0.000
0.393 0.393 0.000
0.607 0.000 0.000
0.000 0.273 0.500
0.273 0.000 0.500
0.727 0.727 0.500
0.000 0.000 0.000
0.333 0.667 0.500
0.667 0.333 0.500

***

Record 8
Pr3Gd3CoTe2, optimized geometry, DFT PBE; V = 28.18 Å³/atom; density = 7.915 g cm⁻³; relative energy among the computed polymorphs = 0.070 eV per atom
1.0
8.665 0.000 0.000
-4.333 7.504 0.000
0.000 0.000 3.899
Pr Gd Co Te
3 3 1 2
direct
0.000 0.241 0.000
0.241 0.000 0.000
0.759 0.759 0.000
0.000 0.591 0.500
0.409 0.409 0.500
0.591 0.000 0.500
0.000 0.000 0.500
0.333 0.667 0.000
0.667 0.333 0.000